No. 1
DFT (PBE) results for a relaxed structure of ZnGaSb3.

Summary:
For the total energy, the calculation gives -2.809 eV/atom. For the offset from the most stable computed form, the calculation gives 0.0000 eV per atom. As for the mass density: 5.6 g cm⁻³. The calculation puts the total magnetization at 0.00 μB/cell. The value obtained for the raw formation energy is 2.62 eV per formula unit.

a b c (Å): 5.2813 5.2813 5.2813
angles (deg): 90.00 90.00 90.00
Fractional coordinates of all 5 atoms:
Ga 0.5000 0.5000 0.5000
Zn 0.0000 0.0000 0.0000
Sb 0.5000 0.0000 0.0000
Sb 0.0000 0.5000 0.0000
Sb 0.0000 0.0000 0.5000

No. 2
DFT (PBE) results for a relaxed structure of ZnGa2Sb2.

Summary:
For the total energy, the calculation gives -2.952 eV/atom. For the offset from the most stable computed form, the calculation gives 0.0000 eV per atom. As for the mass density: 6.2 g cm⁻³. The calculation puts the total magnetization at 0.00 μB/cell. The value obtained for the raw formation energy is 0.81 eV per formula unit.

a b c (Å): 7.8188 7.8188 3.8988
angles (deg): 90.00 90.00 90.00
Fractional coordinates of all 10 atoms:
Sb 0.8280 0.6720 0.0000
Sb 0.1720 0.3280 0.0000
Sb 0.6720 0.1720 0.0000
Sb 0.3280 0.8280 0.0000
Ga 0.1298 0.6298 0.5000
Ga 0.6298 0.8702 0.5000
Ga 0.8702 0.3702 0.5000
Ga 0.3702 0.1298 0.5000
Zn 0.0000 0.0000 0.0000
Zn 0.5000 0.5000 0.0000

No. 3
DFT (PBE) results for a relaxed structure of Zn2Ga2Sb.

Summary:
For the total energy, the calculation gives -2.420 eV/atom. For the offset from the most stable computed form, the calculation gives 0.0321 eV per atom. As for the mass density: 6.6 g cm⁻³. The calculation puts the total magnetization at 0.00 μB/cell. The value obtained for the raw formation energy is 0.62 eV per formula unit.

a b c (Å): 7.8834 7.8834 3.1664
angles (deg): 90.00 90.00 90.00
Fractional coordinates of all 10 atoms:
Ga 0.3761 0.8761 0.0000
Ga 0.8761 0.6239 0.0000
Ga 0.1239 0.3761 0.0000
Ga 0.6239 0.1239 0.0000
Zn 0.6787 0.8213 0.5000
Zn 0.3213 0.1787 0.5000
Zn 0.1787 0.6787 0.5000
Zn 0.8213 0.3213 0.5000
Sb 0.0000 0.0000 0.0000
Sb 0.5000 0.5000 0.0000

No. 4
DFT (PBE) results for a relaxed structure of ZnGa2Sb2.

Summary:
For the total energy, the calculation gives -2.946 eV/atom. For the offset from the most stable computed form, the calculation gives 0.0055 eV per atom. As for the mass density: 6.1 g cm⁻³. The calculation puts the total magnetization at 0.00 μB/cell. The value obtained for the raw formation energy is 0.84 eV per formula unit.

a b c (Å): 4.0919 4.0919 7.8775
angles (deg): 74.95 74.95 90.00
Fractional coordinates of all 5 atoms:
Sb 0.3875 0.3875 0.2250
Sb 0.6125 0.6125 0.7750
Ga 0.7500 0.2500 0.5000
Ga 0.2500 0.7500 0.5000
Zn 0.0000 0.0000 0.0000

No. 5
DFT (PBE) results for a relaxed structure of Zn2GaSb.

Summary:
For the total energy, the calculation gives -2.314 eV/atom. For the offset from the most stable computed form, the calculation gives 0.0000 eV per atom. As for the mass density: 6.5 g cm⁻³. The calculation puts the total magnetization at 0.00 μB/cell. The value obtained for the raw formation energy is 0.44 eV per formula unit.

a b c (Å): 4.2340 4.2340 5.8532
angles (deg): 68.80 68.80 60.00
Fractional coordinates of all 4 atoms:
Zn 0.2600 0.2600 0.2201
Zn 0.7400 0.7400 0.7799
Sb 0.5000 0.5000 0.5000
Ga 0.0000 0.0000 0.0000

No. 6
DFT (PBE) results for a relaxed structure of ZnGa2Sb2.

Summary:
For the total energy, the calculation gives -2.926 eV/atom. For the offset from the most stable computed form, the calculation gives 0.0256 eV per atom. As for the mass density: 6.5 g cm⁻³. The calculation puts the total magnetization at 0.00 μB/cell. The value obtained for the raw formation energy is 0.94 eV per formula unit.

a b c (Å): 7.7454 7.7454 3.8263
angles (deg): 90.00 90.00 90.00
Fractional coordinates of all 10 atoms:
Zn 0.0000 0.0000 0.0000
Zn 0.5000 0.5000 0.0000
Ga 0.1438 0.3562 0.0000
Ga 0.8562 0.6438 0.0000
Ga 0.3562 0.8562 0.0000
Ga 0.6438 0.1438 0.0000
Sb 0.1530 0.6530 0.5000
Sb 0.8470 0.3470 0.5000
Sb 0.6530 0.8470 0.5000
Sb 0.3470 0.1530 0.5000

No. 7
DFT (PBE) results for a relaxed structure of Zn2GaSb2.

Summary:
For the total energy, the calculation gives -2.674 eV/atom. As for the mass density: 6.2 g cm⁻³. The calculation puts the total magnetization at 0.00 μB/cell. The value obtained for the raw formation energy is 0.45 eV per formula unit.

a b c (Å): 3.9610 3.9610 8.1175
angles (deg): 75.88 75.88 90.00
Fractional coordinates of all 5 atoms:
Ga 0.0000 0.0000 0.0000
Sb 0.6217 0.6217 0.7566
Sb 0.3783 0.3783 0.2434
Zn 0.2500 0.7500 0.5000
Zn 0.7500 0.2500 0.5000

No. 8
DFT (PBE) results for a relaxed structure of Zn2GaSb2.

Summary:
For the total energy, the calculation gives -2.615 eV/atom. As for the mass density: 6.6 g cm⁻³. The calculation puts the total magnetization at 0.00 μB/cell. The value obtained for the raw formation energy is 0.75 eV per formula unit.

a b c (Å): 8.1047 8.1047 3.4017
angles (deg): 90.00 90.00 90.00
Fractional coordinates of all 10 atoms:
Sb 0.8282 0.3282 0.5000
Sb 0.1718 0.6718 0.5000
Sb 0.6718 0.8282 0.5000
Sb 0.3282 0.1718 0.5000
Ga 0.0000 0.0000 0.0000
Ga 0.5000 0.5000 0.0000
Zn 0.8754 0.6246 0.0000
Zn 0.3754 0.8754 0.0000
Zn 0.6246 0.1246 0.0000
Zn 0.1246 0.3754 0.0000

No. 9
DFT (PBE) results for a relaxed structure of Zn2GaSb.

Summary:
For the total energy, the calculation gives -2.273 eV/atom. For the offset from the most stable computed form, the calculation gives 0.0406 eV per atom. As for the mass density: 6.5 g cm⁻³. The calculation puts the total magnetization at 0.00 μB/cell. The value obtained for the raw formation energy is 0.60 eV per formula unit.

a b c (Å): 4.8808 4.8808 4.8808
angles (deg): 60.00 60.00 60.00
Fractional coordinates of all 4 atoms:
Sb 0.5000 0.5000 0.5000
Zn 0.2500 0.2500 0.2500
Zn 0.7500 0.7500 0.7500
Ga 0.0000 0.0000 0.0000

No. 10
DFT (PBE) results for a relaxed structure of Zn2GaSb.

Summary:
For the total energy, the calculation gives -2.262 eV/atom. For the offset from the most stable computed form, the calculation gives 0.0516 eV per atom. As for the mass density: 6.4 g cm⁻³. The calculation puts the total magnetization at 0.00 μB/cell. The value obtained for the raw formation energy is 0.65 eV per formula unit.

a b c (Å): 7.5864 7.5864 6.0937
angles (deg): 51.50 51.50 90.00
Fractional coordinates of all 8 atoms:
Ga 0.5000 0.5000 0.0000
Ga 0.2500 0.7500 0.5000
Zn 0.3750 0.3847 0.7500
Zn 0.8750 0.8653 0.7500
Zn 0.6153 0.1250 0.2500
Zn 0.1347 0.6250 0.2500
Sb 0.7500 0.2500 0.5000
Sb 0.0000 0.0000 0.0000

No. 11
DFT (PBE) results for a relaxed structure of Zn3Ga12Sb5.

Summary:
For the total energy, the calculation gives -2.950 eV/atom. As for the mass density: 5.6 g cm⁻³. The calculation puts the total magnetization at 0.00 μB/cell. The value obtained for the raw formation energy is 1.75 eV per formula unit.

a b c (Å): 13.6544 13.6544 13.6544
angles (deg): 109.47 109.47 109.47
Fractional coordinates of all 80 atoms:
Ga 0.2457 0.6697 0.1091
Ga 0.8635 0.6091 0.9395
Ga 0.2543 0.8635 0.9240
Ga 0.5760 0.2457 0.1365
Ga 0.6091 0.8635 0.4395
Ga 0.8303 0.8909 0.2543
Ga 0.8635 0.2543 0.4240
Ga 0.7543 0.4240 0.3635
Ga 0.3635 0.4395 0.1091
Ga 0.9240 0.3635 0.2543
Ga 0.8909 0.0605 0.6365
Ga 0.7457 0.6091 0.1697
Ga 0.4395 0.3635 0.6091
Ga 0.3909 0.2543 0.3303
Ga 0.7543 0.3303 0.8909
Ga 0.6697 0.4240 0.5605
Ga 0.0760 0.4395 0.8303
Ga 0.9240 0.5605 0.1697
Ga 0.0605 0.1697 0.4240
Ga 0.6697 0.2457 0.6091
Ga 0.0760 0.6365 0.7457
Ga 0.5760 0.3303 0.9395
Ga 0.1697 0.1091 0.7457
Ga 0.3635 0.9240 0.7543
Ga 0.6365 0.5605 0.8909
Ga 0.4240 0.6697 0.0605
Ga 0.6091 0.7457 0.6697
Ga 0.5605 0.6365 0.3909
Ga 0.3303 0.5760 0.4395
Ga 0.1091 0.1697 0.2457
Ga 0.1365 0.7457 0.5760
Ga 0.9395 0.1091 0.8635
Ga 0.1697 0.0605 0.9240
Ga 0.8909 0.8303 0.7543
Ga 0.1091 0.9395 0.3635
Ga 0.6365 0.0760 0.2457
Ga 0.2457 0.5760 0.6365
Ga 0.5605 0.9240 0.6697
Ga 0.3303 0.7543 0.3909
Ga 0.4240 0.7543 0.8635
Ga 0.8303 0.9395 0.0760
Ga 0.2543 0.3909 0.8303
Ga 0.7457 0.1365 0.0760
Ga 0.9395 0.8303 0.5760
Ga 0.1365 0.3909 0.0605
Ga 0.0605 0.8909 0.1365
Ga 0.3909 0.1365 0.5605
Ga 0.4395 0.0760 0.3303
Sb 0.3750 0.1250 0.7500
Sb 0.6250 0.8750 0.2500
Sb 0.1250 0.3750 0.2500
Sb 0.5000 0.5000 0.0000
Sb 0.5000 0.0000 0.0000
Sb 0.7500 0.1250 0.8750
Sb 0.1250 0.7500 0.3750
Sb 0.8750 0.6250 0.7500
Sb 0.5000 0.5000 0.5000
Sb 0.2500 0.3750 0.6250
Sb 0.3750 0.2500 0.1250
Sb 0.7500 0.6250 0.3750
Sb 0.0000 0.0000 0.5000
Sb 0.5000 0.0000 0.5000
Sb 0.2500 0.8750 0.1250
Sb 0.8750 0.2500 0.6250
Sb 0.0000 0.5000 0.5000
Sb 0.0000 0.5000 0.0000
Sb 0.6250 0.7500 0.8750
Sb 0.0000 0.0000 0.0000
Zn 0.6250 0.3750 0.7500
Zn 0.7500 0.8750 0.6250
Zn 0.3750 0.6250 0.2500
Zn 0.1250 0.8750 0.7500
Zn 0.6250 0.2500 0.3750
Zn 0.8750 0.1250 0.2500
Zn 0.7500 0.3750 0.1250
Zn 0.2500 0.6250 0.8750
Zn 0.3750 0.7500 0.6250
Zn 0.1250 0.2500 0.8750
Zn 0.2500 0.1250 0.3750
Zn 0.8750 0.7500 0.1250

No. 12
DFT (PBE) results for a relaxed structure of Zn2GaSb.

Summary:
For the total energy, the calculation gives -2.284 eV/atom. For the offset from the most stable computed form, the calculation gives 0.0296 eV per atom. As for the mass density: 6.7 g cm⁻³. The calculation puts the total magnetization at 0.00 μB/cell. The value obtained for the raw formation energy is 0.56 eV per formula unit.

a b c (Å): 4.2066 4.3623 4.3623
angles (deg): 90.00 90.00 90.00
Fractional coordinates of all 4 atoms:
Zn 0.0000 0.5000 0.0000
Zn 0.0000 0.0000 0.5000
Ga 0.5000 0.0000 0.0000
Sb 0.5000 0.5000 0.5000

No. 13
DFT (PBE) results for a relaxed structure of Zn2Ga2Sb.

Summary:
For the total energy, the calculation gives -2.449 eV/atom. For the offset from the most stable computed form, the calculation gives 0.0034 eV per atom. As for the mass density: 6.7 g cm⁻³. The calculation puts the total magnetization at 0.00 μB/cell. The value obtained for the raw formation energy is 0.48 eV per formula unit.

a b c (Å): 7.9466 7.9466 3.0958
angles (deg): 90.00 90.00 90.00
Fractional coordinates of all 10 atoms:
Sb 0.5000 0.5000 0.0000
Sb 0.0000 0.0000 0.0000
Zn 0.8790 0.6210 0.0000
Zn 0.1210 0.3790 0.0000
Zn 0.3790 0.8790 0.0000
Zn 0.6210 0.1210 0.0000
Ga 0.8240 0.3240 0.5000
Ga 0.3240 0.1760 0.5000
Ga 0.6760 0.8240 0.5000
Ga 0.1760 0.6760 0.5000

No. 14
DFT (PBE) results for a relaxed structure of Zn4GaSb.

Summary:
For the total energy, the calculation gives -1.879 eV/atom. As for the mass density: 6.7 g cm⁻³. The calculation puts the total magnetization at 0.00 μB/cell. The value obtained for the raw formation energy is 0.97 eV per formula unit.

a b c (Å): 5.4060 5.4060 5.4060
angles (deg): 60.00 60.00 60.00
Fractional coordinates of all 6 atoms:
Zn 0.6258 0.6258 0.1225
Zn 0.6258 0.1225 0.6258
Zn 0.6258 0.6258 0.6258
Zn 0.1225 0.6258 0.6258
Ga 0.0000 0.0000 0.0000
Sb 0.2500 0.2500 0.2500

No. 15
DFT (PBE) results for a relaxed structure of Zn2GaSb2.

Summary:
For the total energy, the calculation gives -2.582 eV/atom. As for the mass density: 5.9 g cm⁻³. The calculation puts the total magnetization at 0.00 μB/cell. The value obtained for the raw formation energy is 0.91 eV per formula unit.

a b c (Å): 4.7461 4.7461 6.4649
angles (deg): 68.46 68.46 90.00
Fractional coordinates of all 5 atoms:
Sb 0.2500 0.7500 0.5000
Sb 0.7500 0.2500 0.5000
Ga 0.0000 0.0000 0.0000
Zn 0.3913 0.3913 0.2173
Zn 0.6087 0.6087 0.7827

No. 16
DFT (PBE) results for a relaxed structure of Zn2GaSb2.

Summary:
For the total energy, the calculation gives -2.596 eV/atom. As for the mass density: 6.5 g cm⁻³. The calculation puts the total magnetization at 0.00 μB/cell. The value obtained for the raw formation energy is 0.84 eV per formula unit.

a b c (Å): 8.1747 8.1747 3.3857
angles (deg): 90.00 90.00 90.00
Fractional coordinates of all 10 atoms:
Sb 0.8259 0.6741 0.0000
Sb 0.1741 0.3259 0.0000
Sb 0.6741 0.1741 0.0000
Sb 0.3259 0.8259 0.0000
Zn 0.6231 0.8769 0.5000
Zn 0.8769 0.3769 0.5000
Zn 0.3769 0.1231 0.5000
Zn 0.1231 0.6231 0.5000
Ga 0.0000 0.0000 0.0000
Ga 0.5000 0.5000 0.0000

No. 17
DFT (PBE) results for a relaxed structure of Zr2Ga2Sb.

Summary:
For the total energy, the calculation gives -5.844 eV/atom. For the offset from the most stable computed form, the calculation gives 0.0010 eV per atom. As for the mass density: 6.7 g cm⁻³. The calculation puts the total magnetization at 0.00 μB/cell. The value obtained for the raw formation energy is -1.95 eV per formula unit.

a b c (Å): 7.4117 7.4117 4.0032
angles (deg): 90.00 90.00 90.00
Fractional coordinates of all 10 atoms:
Zr 0.1650 0.3350 0.0000
Zr 0.6650 0.1650 0.0000
Zr 0.3350 0.8350 0.0000
Zr 0.8350 0.6650 0.0000
Ga 0.3675 0.1325 0.5000
Ga 0.8675 0.3675 0.5000
Ga 0.6325 0.8675 0.5000
Ga 0.1325 0.6325 0.5000
Sb 0.5000 0.5000 0.0000
Sb 0.0000 0.0000 0.0000

No. 18
DFT (PBE) results for a relaxed structure of ZrGaSb.

Summary:
For the total energy, the calculation gives -5.764 eV/atom. For the offset from the most stable computed form, the calculation gives 0.0000 eV per atom. As for the mass density: 7.5 g cm⁻³. The calculation puts the total magnetization at 0.00 μB/cell. The value obtained for the raw formation energy is -1.59 eV per formula unit.

a b c (Å): 5.4288 5.4288 5.5772
angles (deg): 104.52 104.52 119.00
Fractional coordinates of all 6 atoms:
Sb 0.0322 0.9678 0.0000
Sb 0.7822 0.2178 0.5000
Zr 0.4440 0.5560 0.5000
Zr 0.6940 0.3060 0.0000
Ga 0.3673 0.6327 0.0000
Ga 0.1173 0.8827 0.5000

No. 19
DFT (PBE) results for a relaxed structure of Zr2Ga2Sb.

Summary:
For the total energy, the calculation gives -5.845 eV/atom. For the offset from the most stable computed form, the calculation gives 0.0000 eV per atom. As for the mass density: 6.9 g cm⁻³. The calculation puts the total magnetization at 0.00 μB/cell. The value obtained for the raw formation energy is -1.95 eV per formula unit.

a b c (Å): 3.7082 3.7082 8.1570
angles (deg): 76.86 76.86 90.00
Fractional coordinates of all 5 atoms:
Ga 0.2500 0.7500 0.5000
Ga 0.7500 0.2500 0.5000
Zr 0.3976 0.3976 0.2047
Zr 0.6024 0.6024 0.7953
Sb 0.0000 0.0000 0.0000

No. 20
DFT (PBE) results for a relaxed structure of ZrGa3Sb.

Summary:
For the total energy, the calculation gives -3.467 eV/atom. For the offset from the most stable computed form, the calculation gives 0.2958 eV per atom. As for the mass density: 5.1 g cm⁻³. The calculation puts the total magnetization at 0.46 μB/cell. The value obtained for the raw formation energy is 4.41 eV per formula unit.

a b c (Å): 5.1531 5.1531 5.1531
angles (deg): 90.00 90.00 90.00
Fractional coordinates of all 5 atoms:
Zr 0.5000 0.5000 0.5000
Ga 0.0000 0.0000 0.5000
Ga 0.5000 0.0000 0.0000
Ga 0.0000 0.5000 0.0000
Sb 0.0000 0.0000 0.0000